# 1
Density functional theory data (PBEsol) for an optimized crystal structure of LiCuF3.

raw total energy = -133.9 eV/cell
total magnetic moment = 1.0 μB/f.u.

Unit cell a=4.8824 b=4.8824 c=14.0501 alpha=90.00 beta=90.00 gamma=120.00
Fractional positions:
1 Li 0.0019 0.0038 0.2500
2 Li 0.0019 0.9981 0.9167
3 Li 0.0038 0.0019 0.0833
4 Li 0.9962 0.9981 0.5833
5 Li 0.9981 0.0019 0.4167
6 Li 0.9981 0.9962 0.7500
7 Cu 0.3318 0.6637 0.7500
8 Cu 0.3318 0.6682 0.4167
9 Cu 0.3363 0.6682 0.0833
10 Cu 0.6637 0.3318 0.5833
11 Cu 0.6682 0.3318 0.9167
12 Cu 0.6682 0.3363 0.2500
13 F 0.0000 0.3226 0.8333
14 F 0.0000 0.6774 0.3333
15 F 0.0028 0.3284 0.1665
16 F 0.0028 0.6744 0.0002
17 F 0.3226 0.0000 0.5000
18 F 0.3226 0.3226 0.6667
19 F 0.3256 0.3284 0.3335
20 F 0.3256 0.9972 0.8331
21 F 0.3284 0.0028 0.1669
22 F 0.3284 0.3256 0.9998
23 F 0.6716 0.6744 0.4998
24 F 0.6716 0.9972 0.6669
25 F 0.6744 0.0028 0.3331
26 F 0.6744 0.6716 0.8335
27 F 0.6774 0.0000 0.0000
28 F 0.6774 0.6774 0.1667
29 F 0.9972 0.3256 0.5002
30 F 0.9972 0.6716 0.6665

---

# 2
Density functional theory data (PBEsol) for an optimized crystal structure of Li4Cu3F10.

raw total energy = -75.9 eV/cell
total magnetic moment = 1.0 μB/f.u.

Unit cell a=5.2996 b=5.3863 c=8.6020 alpha=87.48 beta=77.67 gamma=66.46
Fractional positions:
1 Li 0.0057 0.1212 0.2793
2 Li 0.0394 0.6048 0.3495
3 Li 0.9606 0.3952 0.6505
4 Li 0.9943 0.8788 0.7207
5 Cu 0.3580 0.2942 0.8690
6 Cu 0.5000 0.0000 0.5000
7 Cu 0.6420 0.7058 0.1310
8 F 0.0000 0.5000 0.0000
9 F 0.1681 0.2390 0.4368
10 F 0.2176 0.5207 0.7097
11 F 0.2718 0.7731 0.2427
12 F 0.2761 0.0136 0.7014
13 F 0.5000 0.0000 0.0000
14 F 0.7239 0.9864 0.2986
15 F 0.7282 0.2269 0.7573
16 F 0.7824 0.4793 0.2903
17 F 0.8319 0.7610 0.5632

---

# 3
Density functional theory data (PBEsol) for an optimized crystal structure of LiCu3F7.

raw total energy = -94.6 eV/cell
total magnetic moment = 2.9 μB/f.u.

Unit cell a=6.8219 b=6.8219 c=6.8420 alpha=114.20 beta=114.20 gamma=63.91
Fractional positions:
1 Li 0.0000 0.0000 0.0000
2 Li 0.0000 0.0000 0.5000
3 Cu 0.0000 0.5000 0.0000
4 Cu 0.0000 0.5000 0.5000
5 Cu 0.5000 0.0000 0.0000
6 Cu 0.5000 0.0000 0.5000
7 Cu 0.5000 0.5000 0.0000
8 Cu 0.5000 0.5000 0.5000
9 F 0.0956 0.1827 0.4058
10 F 0.1443 0.4988 0.3073
11 F 0.1827 0.0956 0.9058
12 F 0.1925 0.6366 0.0077
13 F 0.3634 0.8075 0.4923
14 F 0.3940 0.6060 0.7500
15 F 0.4988 0.1443 0.8073
16 F 0.5012 0.8557 0.1927
17 F 0.6060 0.3940 0.2500
18 F 0.6366 0.1925 0.5077
19 F 0.8075 0.3634 0.9923
20 F 0.8173 0.9044 0.0942
21 F 0.8557 0.5012 0.6927
22 F 0.9044 0.8173 0.5942

---

# 4
Density functional theory data (PBEsol) for an optimized crystal structure of LiCu2F7.

raw total energy = -81.3 eV/cell
total magnetic moment = 0.2 μB/f.u.

Unit cell a=6.5453 b=6.5453 c=7.0872 alpha=93.60 beta=93.60 gamma=43.92
Fractional positions:
1 Li 0.0019 0.9981 0.5000
2 Li 0.9981 0.0019 0.0000
3 Cu 0.2996 0.3076 0.4020
4 Cu 0.3076 0.2996 0.9020
5 Cu 0.5835 0.6019 0.3309
6 Cu 0.6019 0.5835 0.8309
7 F 0.0529 0.6781 0.4973
8 F 0.1691 0.4363 0.1500
9 F 0.1989 0.8505 0.2476
10 F 0.2943 0.6072 0.8714
11 F 0.3486 0.9689 0.9218
12 F 0.4363 0.1691 0.6500
13 F 0.4448 0.7344 0.5839
14 F 0.5406 0.9244 0.3141
15 F 0.6072 0.2943 0.3714
16 F 0.6781 0.0529 0.9973
17 F 0.7344 0.4448 0.0839
18 F 0.8505 0.1989 0.7476
19 F 0.9244 0.5406 0.8141
20 F 0.9689 0.3486 0.4218

---

# 5
Density functional theory data (PBEsol) for an optimized crystal structure of Li2CuF5.

raw total energy = -141.4 eV/cell
total magnetic moment = 1.0 μB/f.u.

Unit cell a=7.3620 b=4.9490 c=9.7258 alpha=90.00 beta=110.81 gamma=90.00
Fractional positions:
1 Li 0.0675 0.0000 0.3672
2 Li 0.0675 0.5000 0.8672
3 Li 0.3857 0.0029 0.6316
4 Li 0.3857 0.4971 0.1316
5 Li 0.6143 0.5029 0.8684
6 Li 0.6143 0.9971 0.3684
7 Li 0.9325 0.0000 0.6328
8 Li 0.9325 0.5000 0.1328
9 Cu 0.0000 0.0000 0.0000
10 Cu 0.0000 0.5000 0.5000
11 Cu 0.5000 0.0000 0.0000
12 Cu 0.5000 0.5000 0.5000
13 F 0.0366 0.6512 0.6860
14 F 0.0366 0.8488 0.1860
15 F 0.1397 0.1790 0.5809
16 F 0.1397 0.3210 0.0809
17 F 0.2247 0.6985 0.4978
18 F 0.2247 0.8015 0.9978
19 F 0.3919 0.1948 0.4121
20 F 0.3919 0.3052 0.9121
21 F 0.4662 0.6541 0.3262
22 F 0.4662 0.8459 0.8262
23 F 0.5338 0.1541 0.1738
24 F 0.5338 0.3459 0.6738
25 F 0.6081 0.6948 0.0879
26 F 0.6081 0.8052 0.5879
27 F 0.7753 0.1985 0.0022
28 F 0.7753 0.3015 0.5022
29 F 0.8603 0.6790 0.9191
30 F 0.8603 0.8210 0.4191
31 F 0.9634 0.1512 0.8140
32 F 0.9634 0.3488 0.3140

---

# 6
Density functional theory data (PBEsol) for an optimized crystal structure of LiCuF3.

raw total energy = -89.3 eV/cell
total magnetic moment = 1.0 μB/f.u.

Unit cell a=3.2426 b=9.6469 c=7.5186 alpha=90.00 beta=106.08 gamma=90.00
Fractional positions:
1 Li 0.0107 0.1893 0.4821
2 Li 0.0107 0.3107 0.9821
3 Li 0.9893 0.6893 0.0179
4 Li 0.9893 0.8107 0.5179
5 Cu 0.3148 0.0023 0.1870
6 Cu 0.3148 0.4977 0.6870
7 Cu 0.6852 0.5023 0.3130
8 Cu 0.6852 0.9977 0.8130
9 F 0.1453 0.6187 0.4710
10 F 0.1453 0.8813 0.9710
11 F 0.1748 0.0960 0.7080
12 F 0.1748 0.4040 0.2080
13 F 0.4428 0.1375 0.3722
14 F 0.4428 0.3625 0.8722
15 F 0.5572 0.6375 0.1278
16 F 0.5572 0.8625 0.6278
17 F 0.8252 0.5960 0.7920
18 F 0.8252 0.9040 0.2920
19 F 0.8547 0.1187 0.0290
20 F 0.8547 0.3813 0.5290

---

- Which of these has the lowest raw total energy?
  Li2CuF5